Here is an optimized crystal structure of TbBeNO from OQMD. Energies are from PBE-GGA.

Results
The calculation puts the calculated volume at 42 Å³/f.u. As for the energy above the most stable polymorph in this dataset: 15.8 kJ per mole of atoms. The total magnetization comes out at 0.00 μB per cell. The value obtained for the total DFT energy (no corrections) is -29.5 eV/f.u.

a b c (Å): 5.3896 6.3982 4.9094
angles (deg): 90.00 90.00 90.00
Fractional positions:
1 O 0.0166 0.8563 0.5040
2 Tb 0.4500 0.7832 0.4945
3 Be 0.9183 0.6005 0.5113
4 N 0.1562 0.4811 0.6925
5 Tb 0.0500 0.7832 0.9945
6 Be 0.5817 0.6005 0.0113
7 O 0.9834 0.1437 0.0040
8 Tb 0.9500 0.2168 0.4945
9 N 0.8438 0.5189 0.1925
10 Tb 0.5500 0.2168 0.9945
11 Be 0.0817 0.3995 0.0113
12 O 0.4834 0.8563 0.0040
13 N 0.6562 0.5189 0.6925
14 Be 0.4183 0.3995 0.5113
15 N 0.3438 0.4811 0.1925
16 O 0.5166 0.1437 0.5040